No. 1
{"formula": "TaAs2SeS", "functional": "PBE", "state": "optimized geometry", "cell": [[4.692, 0.000, 0.000], [0.000, 4.692, 0.000], [0.000, 0.000, 4.606]], "species": ["Ta", "As", "As", "Se", "S"], "fractional_positions": [[0.000, 0.000, 0.000], [0.000, 0.500, 0.500], [0.500, 0.000, 0.500], [0.500, 0.500, 0.000], [0.500, 0.500, 0.500]], "e_form_raw_ev_per_atom": 0.9687, "dos_ef_per_ev_cell": 5.7}

***

No. 2
{"formula": "BaCdPb2", "functional": "PBE", "state": "optimized geometry", "cell": [[3.589, -4.998, 0.000], [3.589, 4.998, 0.000], [0.000, 0.000, 3.728]], "species": ["Ba", "Cd", "Pb", "Pb"], "fractional_positions": [[0.000, 0.000, 0.000], [0.500, 0.500, 0.000], [0.000, 0.500, 0.500], [0.500, 0.000, 0.500]], "formation_energy_ev_per_fu": -0.710, "dos_ef_per_ev_cell": 1.7}

***

Repeat the second record exactly.
{"formula": "BaCdPb2", "functional": "PBE", "state": "optimized geometry", "cell": [[3.589, -4.998, 0.000], [3.589, 4.998, 0.000], [0.000, 0.000, 3.728]], "species": ["Ba", "Cd", "Pb", "Pb"], "fractional_positions": [[0.000, 0.000, 0.000], [0.500, 0.500, 0.000], [0.000, 0.500, 0.500], [0.500, 0.000, 0.500]], "formation_energy_ev_per_fu": -0.710, "dos_ef_per_ev_cell": 1.7}